Entry 1:
# MnBOs3

MnBOs3 at its PBEsol-relaxed geometry (meta-GGA SCAN, the Alexandria database).

- space-group type = Pm-3m, No. 221

a b c (Å): 4.332 4.332 4.332
angles (deg): 90.00 90.00 90.00
Fractional coordinates of all 5 atoms:
1 Mn 0.000 0.000 0.000
2 B 0.500 0.500 0.500
3 Os 0.000 0.000 0.500
4 Os 0.000 0.500 0.000
5 Os 0.500 0.000 0.000



Entry 2:
# MnB2OsPt

MnB2OsPt at its PBEsol-relaxed geometry (meta-GGA SCAN, the Alexandria database).

- space-group type = P4/mmm, No. 123

a b c (Å): 3.801 3.801 4.406
angles (deg): 90.00 90.00 90.00
Fractional coordinates of all 5 atoms:
1 Mn 0.000 0.000 0.000
2 B 0.000 0.500 0.000
3 B 0.500 0.000 0.000
4 Os 0.000 0.000 0.500
5 Pt 0.500 0.500 0.500



Entry 3:
# MnB2Pd

MnB2Pd at its PBEsol-relaxed geometry (meta-GGA SCAN, the Alexandria database).

- space-group type = I-42d, No. 122

a b c (Å): 4.600 4.600 9.089
angles (deg): 90.00 90.00 90.00
Fractional coordinates of all 16 atoms:
1 Mn 0.000 0.000 0.000
2 Mn 0.000 0.500 0.250
3 Mn 0.500 0.000 0.750
4 Mn 0.500 0.500 0.500
5 B 0.230 0.250 0.125
6 B 0.250 0.730 0.375
7 B 0.250 0.770 0.875
8 B 0.270 0.250 0.625
9 B 0.730 0.750 0.625
10 B 0.750 0.230 0.875
11 B 0.750 0.270 0.375
12 B 0.770 0.750 0.125
13 Pd 0.000 0.000 0.500
14 Pd 0.000 0.500 0.750
15 Pd 0.500 0.000 0.250
16 Pd 0.500 0.500 0.000



Entry 4:
# MnBPd3

MnBPd3 at its PBEsol-relaxed geometry (meta-GGA SCAN, the Alexandria database).

- space-group type = Pm-3m, No. 221
- E above lowest polymorph (eV per atom) = 0.0000

a b c (Å): 4.108 4.108 4.108
angles (deg): 90.00 90.00 90.00
Fractional coordinates of all 5 atoms:
1 Mn 0.000 0.000 0.000
2 B 0.500 0.500 0.500
3 Pd 0.000 0.500 0.500
4 Pd 0.500 0.000 0.500
5 Pd 0.500 0.500 0.000



Entry 5:
# MnBPd3

MnBPd3 at its PBEsol-relaxed geometry (meta-GGA SCAN, the Alexandria database).

- space-group type = Pm-3m, No. 221
- E above lowest polymorph (eV per atom) = 1.8952

a b c (Å): 4.516 4.516 4.516
angles (deg): 90.00 90.00 90.00
Fractional coordinates of all 5 atoms:
1 Mn 0.000 0.000 0.000
2 B 0.500 0.500 0.500
3 Pd 0.000 0.000 0.500
4 Pd 0.000 0.500 0.000
5 Pd 0.500 0.000 0.000



Entry 6:
# RbMnB3

RbMnB3 at its PBEsol-relaxed geometry (meta-GGA SCAN, the Alexandria database).

- space-group type = Pm-3m, No. 221

a b c (Å): 4.488 4.488 4.488
angles (deg): 90.00 90.00 90.00
Fractional coordinates of all 5 atoms:
1 Rb 0.000 0.000 0.000
2 Mn 0.500 0.500 0.500
3 B 0.000 0.000 0.500
4 B 0.000 0.500 0.000
5 B 0.500 0.000 0.000



Number 1: calculated formation energy 2.69 eV/atom, total DFT energy (no corrections) -45.5784 eV/atom. Number 2: calculated formation energy 1.34 eV/atom, total DFT energy (no corrections) -33.7014 eV/atom. Number 3: calculated formation energy 0.56 eV/atom, total DFT energy (no corrections) -15.9125 eV/atom. Number 4: calculated formation energy -0.34 eV/atom, total DFT energy (no corrections) -25.1407 eV/atom. Number 5: calculated formation energy 1.56 eV/atom, total DFT energy (no corrections) -23.2455 eV/atom. Number 6: calculated formation energy 3.47 eV/atom, total DFT energy (no corrections) -8.7861 eV/atom.